Below is a geometry-optimized KBeRe2 structure, with properties calculated at the PBE-GGA level.

a b c (Å): 2.946 2.946 8.362
angles (deg): 90.00 90.00 90.00
Element x y z (fractional)
Re (0.000, 0.000, 0.107)
Re (0.000, 0.000, 0.393)
K (0.500, 0.500, 0.750)
Be (0.500, 0.500, 0.250)

Space group ... P4/mmm
Total DFT energy (no corrections) ... -6.595 eV per atom